BAsPtO | GGA-PBE | optimized geometry

a = 3.645 Å, b = 3.645 Å, c = 8.529 Å
α = 90.00°, β = 90.00°, γ = 90.00°
Element x y z (fractional)
B  0.250  0.250  0.053
B  0.750  0.750  0.947
As  0.250  0.250  0.297
As  0.750  0.750  0.703
Pt  0.250  0.750  0.500
Pt  0.750  0.250  0.500
O  0.250  0.750  0.000
O  0.750  0.250  0.000

Results
- final energy (eV per atom) = -5.58
- energy relative to the lowest polymorph listed for this composition (eV/atom) = 0.7656

Pr2Al3Hg3 | GGA-PBE | optimized geometry

a = 6.830 Å, b = 6.830 Å, c = 4.691 Å
α = 90.00°, β = 90.00°, γ = 120.00°
Element x y z (fractional)
Pr  0.000  0.000  0.000
Pr  0.333  0.667  0.500
Al  0.529  0.058  0.000
Al  0.529  0.471  0.000
Al  0.942  0.471  0.000
Hg  0.355  0.178  0.500
Hg  0.822  0.178  0.500
Hg  0.822  0.645  0.500

Results
- final energy (eV per atom) = -3.08
- energy relative to the lowest polymorph listed for this composition (eV/atom) = 0.0000

RbLa9Ir4O24 | GGA-PBE | optimized geometry

a = 10.446 Å, b = 10.446 Å, c = 10.446 Å
α = 136.74°, β = 136.74°, γ = 62.83°
Element x y z (fractional)
Rb  0.000  0.000  0.000
La  0.040  0.537  0.866
La  0.175  0.040  0.504
La  0.329  0.825  0.866
La  0.463  0.329  0.504
La  0.500  0.500  0.000
La  0.537  0.671  0.496
La  0.671  0.175  0.134
La  0.825  0.960  0.496
La  0.960  0.463  0.134
Ir  0.000  0.500  0.500
Ir  0.259  0.259  0.000
Ir  0.500  0.000  0.500
Ir  0.741  0.741  0.000
O  0.011  0.277  0.464
O  0.017  0.204  0.691
O  0.149  0.149  0.000
O  0.187  0.454  0.464
O  0.204  0.513  0.187
O  0.213  0.635  0.848
O  0.277  0.813  0.266
O  0.326  0.017  0.813
O  0.365  0.213  0.578
O  0.372  0.372  0.000
O  0.454  0.989  0.266
O  0.487  0.674  0.691
O  0.513  0.326  0.309
O  0.546  0.011  0.734
O  0.628  0.628  0.000
O  0.635  0.787  0.422
O  0.674  0.983  0.187
O  0.723  0.187  0.734
O  0.787  0.365  0.152
O  0.796  0.487  0.813
O  0.813  0.546  0.536
O  0.851  0.851  0.000
O  0.983  0.796  0.309
O  0.989  0.723  0.536

Results
- final energy (eV per atom) = -7.66

RbNaAgSb | GGA-PBE | optimized geometry

a = 6.172 Å, b = 5.978 Å, c = 7.215 Å
α = 90.00°, β = 104.06°, γ = 90.00°
Element x y z (fractional)
Rb  0.065  0.250  0.183
Rb  0.935  0.750  0.817
Na  0.321  0.750  0.511
Na  0.679  0.250  0.489
Ag  0.500  0.000  0.000
Ag  0.500  0.500  0.000
Sb  0.268  0.250  0.702
Sb  0.732  0.750  0.298

Results
- final energy (eV per atom) = -2.67
- energy relative to the lowest polymorph listed for this composition (eV/atom) = 0.0000

Tm3GePd4 | GGA-PBE | optimized geometry

a = 5.478 Å, b = 4.426 Å, c = 6.616 Å
α = 90.00°, β = 92.15°, γ = 90.00°
Element x y z (fractional)
Tm  0.000  0.000  0.000
Tm  0.212  0.000  0.498
Tm  0.512  0.500  0.865
Ge  0.744  0.500  0.341
Pd  0.012  0.500  0.711
Pd  0.210  0.500  0.221
Pd  0.537  0.000  0.168
Pd  0.709  0.000  0.595

Results
- final energy (eV per atom) = -5.66

Th2Se3 | GGA-PBE | optimized geometry

a = 11.370 Å, b = 4.065 Å, c = 11.424 Å
α = 90.00°, β = 90.00°, γ = 90.00°
Element x y z (fractional)
Th  0.020  0.250  0.185
Th  0.198  0.250  0.514
Th  0.302  0.750  0.014
Th  0.480  0.750  0.685
Th  0.520  0.250  0.315
Th  0.698  0.250  0.986
Th  0.802  0.750  0.486
Th  0.980  0.750  0.815
Se  0.052  0.750  0.378
Se  0.122  0.250  0.944
Se  0.219  0.750  0.705
Se  0.281  0.250  0.205
Se  0.378  0.750  0.444
Se  0.448  0.250  0.878
Se  0.552  0.750  0.122
Se  0.622  0.250  0.556
Se  0.719  0.750  0.795
Se  0.781  0.250  0.295
Se  0.878  0.750  0.056
Se  0.948  0.250  0.622

Results
- final energy (eV per atom) = -6.77

TbPr2Cu4Si4 | GGA-PBE | optimized geometry

a = 12.305 Å, b = 12.305 Å, c = 12.305 Å
α = 160.74°, β = 160.71°, γ = 27.39°
Element x y z (fractional)
Tb  0.000  0.000  0.000
Pr  0.149  0.649  0.500
Pr  0.851  0.351  0.500
Cu  0.250  0.250  0.000
Cu  0.405  0.905  0.500
Cu  0.595  0.095  0.500
Cu  0.750  0.750  0.000
Si  0.305  0.805  0.500
Si  0.451  0.451  0.000
Si  0.549  0.549  0.000
Si  0.695  0.195  0.500

Results
- final energy (eV per atom) = -5.22

LuGaCuNi | GGA-PBE | optimized geometry

a = 6.331 Å, b = 6.331 Å, c = 6.331 Å
α = 90.00°, β = 90.00°, γ = 90.00°
Element x y z (fractional)
Lu  0.000  0.000  0.000
Lu  0.000  0.500  0.500
Lu  0.500  0.000  0.500
Lu  0.500  0.500  0.000
Ga  0.250  0.250  0.250
Ga  0.250  0.750  0.750
Ga  0.750  0.250  0.750
Ga  0.750  0.750  0.250
Cu  0.000  0.000  0.500
Cu  0.000  0.500  0.000
Cu  0.500  0.000  0.000
Cu  0.500  0.500  0.500
Ni  0.250  0.250  0.750
Ni  0.250  0.750  0.250
Ni  0.750  0.250  0.250
Ni  0.750  0.750  0.750

Results
- final energy (eV per atom) = -4.45
- energy relative to the lowest polymorph listed for this composition (eV/atom) = 0.1712

final energy of number 2 (Pr2Al3Hg3)? -3.08 eV per atom

Which value of final energy does entry 5 give? -5.66 eV per atom

Which formula does entry 3 have? RbLa9Ir4O24

Which of these has the lowest final energy? RbLa9Ir4O24